First-principles (PBE) data for crystalline Mg6CrNi at its relaxed geometry, as listed in the Alexandria database.

The calculation puts the distance to the lowest polymorph of the same formula at 0.025 eV per atom. Its final energy is -47.479 eV/cell. The theoretical density comes out at 2.78 Mg/m³. As for the crystal system: orthorhombic. For the formation energy, the calculation gives 154 meV/atom.

The structure belongs to space group Amm2 (No. 38); the cell edges are 4.814, 6.026 and 10.547 Å and the angles 90.00°, 90.00° and 90.00°. The asymmetric unit holds Mg at (0.000, 0.000, 0.000), Mg at (0.000, 0.000, 0.495), Mg at (0.000, 0.245, 0.234), Mg at (0.500, 0.249, 0.403), Cr at (0.500, 0.000, 0.653) and Ni at (0.500, 0.000, 0.152).